Na2SrCoF8: optimized geometry, PBE+U.

Calculated values
crystal system	monoclinic
DFT total energy	-55.05	eV for the cell shown

The structure in POSCAR format:
```
Na2SrCoF8
1.0
4.499 0.000 0.000
0.000 7.143 0.000
-0.075 0.000 5.434
Na Sr Co F
2 1 1 8
direct
0.000 0.246 0.000
0.000 0.754 0.000
0.500 0.500 0.500
0.500 0.000 0.500
0.068 0.500 0.244
0.194 0.000 0.284
0.343 0.187 0.687
0.343 0.813 0.687
0.657 0.187 0.313
0.657 0.813 0.313
0.806 0.000 0.716
0.932 0.500 0.756
```